Computed, not measured: a relaxed structure of LiSi2Au at the PBE level of DFT.

Summary:
Density of states at the Fermi level in states/eV/f.u.: 1.10
E above lowest polymorph in meV per atom: 120
Volume in Å³/cell: 61.1
Formation energy from raw total energies in kJ/mol of formula units: 7
Electronic total energy in eV per atom: -3.991
Crystal system: tetragonal

a b c (Å): 5.122 5.122 5.122
angles (deg): 137.29 137.29 62.00
Fractional coordinates of all 4 atoms:
Li: 0.000 0.000 0.000
Si: 0.250 0.750 0.500
Si: 0.750 0.250 0.500
Au: 0.500 0.500 0.000